The following is a DFT calculation (PBE+U) of AgMoO2 after structural relaxation.

* raw total energy: -5.7015 eV/atom
* DOS(E_F): 1.17 states/eV/f.u.

abc: 7.2029 7.2029 7.2029
angles: 22.86 22.86 22.86
Last column: nearest neighbours and their distance in Å.
Sites, in units of the cell vectors:
Mo: 0.5000 0.5000 0.5000  6 O 2.12
O: 0.8967 0.8967 0.8967  3 Mo 2.12, 1 Ag 2.17
O: 0.1033 0.1033 0.1033  3 Mo 2.12, 1 Ag 2.17
Ag: 0.0000 0.0000 0.0000  2 O 2.17